Entry 1:
{"formula": "ZrCr2Sb", "functional": "GGA-PBE", "state": "optimized geometry", "spacegroup": "Imm2, No. 44", "dft_energy_ev_per_atom": -7.896, "magnetic_moment_mub_per_cell": 0.338, "raw_formation_energy_ev_per_atom": 0.083, "lattice": [[-0.006, 5.244, -0.252], [-3.972, 1.995, -2.795], [0.553, -3.373, 3.986]], "species": ["Cr", "Cr", "Sb", "Zr"], "frac_coords": [[0.990, 0.990, 0.000], [0.762, 0.262, 0.500], [0.502, 0.502, 0.000], [0.246, 0.746, 0.500]]}

=====

Entry 2:
{"formula": "ZrCr2Sb", "functional": "GGA-PBE", "state": "optimized geometry", "spacegroup": "P2/m, No. 10", "dft_energy_ev_per_atom": -7.744, "magnetic_moment_mub_per_cell": 0.198, "raw_formation_energy_ev_per_atom": 0.236, "lattice": [[4.523, 0.000, 0.000], [0.000, 3.181, 0.000], [0.000, 0.342, 5.111]], "species": ["Cr", "Cr", "Sb", "Zr"], "frac_coords": [[0.000, 0.131, 0.936], [0.000, 0.369, 0.564], [0.500, 0.250, 0.250], [0.500, 0.750, 0.750]]}

=====

Entry 3:
{"formula": "ZrCrSb", "functional": "GGA-PBE", "state": "optimized geometry", "spacegroup": "P3m1, No. 156", "dft_energy_ev_per_atom": -7.183, "magnetic_moment_mub_per_cell": 2.680, "raw_formation_energy_ev_per_atom": 0.248, "lattice": [[-1.475, 2.778, -0.830], [-1.626, -2.270, 1.669], [2.047, 2.837, 5.854]], "species": ["Cr", "Sb", "Zr"], "frac_coords": [[0.000, 0.000, 0.998], [0.667, 0.333, 0.319], [0.333, 0.667, 0.683]]}